{"formula": "AcCeTlGe", "functional": "GGA-PBE", "state": "optimized geometry", "spacegroup": "F-43m (216)", "dos_at_fermi_per_ev_fu": 8.72, "total_magnetization_mub_per_cell": 1.2, "e_form_ev_per_atom": -0.34, "lattice_angstrom": [[5.522, 0.000, 0.000], [2.761, 4.782, 0.000], [2.761, 1.594, 4.509]], "species": ["Ac", "Ge", "Tl", "Ce"], "frac_coords": [[0.000, 0.000, 0.000], [0.250, 0.250, 0.250], [0.750, 0.750, 0.750], [0.500, 0.500, 0.500]]}